Record 1
Computed, not measured: crystalline K3Na2PaF9 at its relaxed geometry at the PBE-GGA level of DFT.

## Properties
The value obtained for the formation energy without anion corrections is -3.11 eV/atom. As for the crystal system: trigonal.

Unit cell a=6.251 b=6.251 c=8.250 alpha=90.00 beta=90.00 gamma=120.00
Atoms (fractional coordinates):
K 0.000 0.000 0.000
K 0.333 0.667 0.777
K 0.667 0.333 0.223
Na 0.333 0.667 0.163
Na 0.667 0.333 0.837
Pa 0.000 0.000 0.500
F 0.000 0.500 0.000
F 0.161 0.321 0.337
F 0.161 0.839 0.337
F 0.321 0.161 0.663
F 0.500 0.000 0.000
F 0.500 0.500 0.000
F 0.679 0.839 0.337
F 0.839 0.161 0.663
F 0.839 0.679 0.663



Record 2
Computed, not measured: crystalline KNa2PaF8 at its relaxed geometry at the PBE-GGA level of DFT.

## Properties
The value obtained for the formation energy without anion corrections is -3.14 eV/atom. As for the crystal system: trigonal.

Unit cell a=5.691 b=5.691 c=8.667 alpha=90.00 beta=90.00 gamma=120.00
Atoms (fractional coordinates):
K 0.000 0.000 0.000
Na 0.333 0.667 0.169
Na 0.667 0.333 0.831
Pa 0.000 0.000 0.500
F 0.166 0.332 0.347
F 0.166 0.834 0.347
F 0.332 0.166 0.653
F 0.333 0.667 0.927
F 0.667 0.333 0.073
F 0.668 0.834 0.347
F 0.834 0.166 0.653
F 0.834 0.668 0.653



Record 3
Computed, not measured: crystalline KNaPaF6 at its relaxed geometry at the PBE-GGA level of DFT.

## Properties
The value obtained for the formation energy without anion corrections is -3.37 eV/atom. As for the crystal system: trigonal.

Unit cell a=6.429 b=6.429 c=9.212 alpha=90.00 beta=90.00 gamma=120.00
Atoms (fractional coordinates):
K 0.333 0.667 0.250
K 0.667 0.333 0.750
Na 0.000 0.000 0.000
Na 0.000 0.000 0.500
Pa 0.333 0.667 0.750
Pa 0.667 0.333 0.250
F 0.054 0.365 0.622
F 0.054 0.689 0.878
F 0.311 0.365 0.878
F 0.311 0.946 0.622
F 0.365 0.054 0.122
F 0.365 0.311 0.378
F 0.635 0.689 0.622
F 0.635 0.946 0.878
F 0.689 0.054 0.378
F 0.689 0.635 0.122
F 0.946 0.311 0.122
F 0.946 0.635 0.378



Record 4
Computed, not measured: crystalline KNa2PbF6 at its relaxed geometry at the PBE-GGA level of DFT.

## Properties
The value obtained for the formation energy without anion corrections is -2.50 eV/atom. As for the crystal system: trigonal. The calculation puts the density of states at the Fermi level at 2.89 states/eV per cell.

Unit cell a=6.370 b=6.370 c=6.370 alpha=57.18 beta=57.18 gamma=57.18
Atoms (fractional coordinates):
K 0.000 0.000 0.000
Na 0.275 0.275 0.275
Na 0.783 0.783 0.783
Pb 0.484 0.484 0.484
F 0.093 0.631 0.437
F 0.190 0.556 0.880
F 0.437 0.093 0.631
F 0.556 0.880 0.190
F 0.631 0.437 0.093
F 0.880 0.190 0.556



Record 5
Computed, not measured: crystalline KNa2PbF8 at its relaxed geometry at the PBE-GGA level of DFT.

## Properties
The value obtained for the formation energy without anion corrections is -2.26 eV/atom. As for the crystal system: triclinic.

Unit cell a=5.140 b=5.225 c=7.738 alpha=90.03 beta=90.07 gamma=90.41
Atoms (fractional coordinates):
K 0.000 0.000 0.000
Na 0.500 0.500 0.279
Na 0.500 0.500 0.721
Pb 0.000 0.000 0.500
F 0.213 0.832 0.297
F 0.213 0.832 0.703
F 0.264 0.311 0.500
F 0.322 0.428 0.000
F 0.678 0.572 0.000
F 0.736 0.689 0.500
F 0.787 0.168 0.297
F 0.787 0.168 0.703



Record 6
Computed, not measured: crystalline KNa2PbF at its relaxed geometry at the PBE-GGA level of DFT.

## Properties
The value obtained for the formation energy without anion corrections is -1.02 eV/atom. As for the crystal system: tetragonal. The calculation puts the density of states at the Fermi level at 3.26 states/eV per cell.

Unit cell a=5.019 b=5.019 c=5.288 alpha=90.00 beta=90.00 gamma=90.00
Atoms (fractional coordinates):
K 0.000 0.000 0.000
Na 0.000 0.500 0.500
Na 0.500 0.000 0.500
Pb 0.500 0.500 0.000
F 0.000 0.000 0.500



Record 7
Computed, not measured: crystalline KNaPb2F6 at its relaxed geometry at the PBE-GGA level of DFT.

## Properties
The value obtained for the formation energy without anion corrections is -2.51 eV/atom. As for the crystal system: monoclinic. The calculation puts the density of states at the Fermi level at 0.00 states/eV per cell.

Unit cell a=6.143 b=6.742 c=10.753 alpha=90.00 beta=124.15 gamma=90.00
Atoms (fractional coordinates):
K 0.000 0.000 0.000
K 0.000 0.500 0.500
Na 0.500 0.000 0.500
Na 0.500 0.500 0.000
Pb 0.211 0.049 0.721
Pb 0.211 0.451 0.221
Pb 0.789 0.549 0.779
Pb 0.789 0.951 0.279
F 0.139 0.145 0.479
F 0.139 0.355 0.979
F 0.179 0.734 0.372
F 0.179 0.766 0.872
F 0.431 0.113 0.274
F 0.431 0.387 0.774
F 0.569 0.613 0.226
F 0.569 0.887 0.726
F 0.821 0.234 0.128
F 0.821 0.266 0.628
F 0.861 0.645 0.021
F 0.861 0.855 0.521



Record 8
Computed, not measured: crystalline KNaPd2F at its relaxed geometry at the PBE-GGA level of DFT.

## Properties
The value obtained for the formation energy without anion corrections is -0.15 eV/atom. As for the crystal system: tetragonal. The calculation puts the density of states at the Fermi level at 1.33 states/eV per cell.

Unit cell a=5.303 b=5.303 c=4.237 alpha=90.00 beta=90.00 gamma=90.00
Atoms (fractional coordinates):
K 0.000 0.000 0.000
Na 0.500 0.500 0.500
Pd 0.000 0.500 0.500
Pd 0.500 0.000 0.500
F 0.500 0.500 0.000



What is the formula in the fifth record?
KNa2PbF8



What is the formation energy without anion corrections in the third record?
-3.37 eV/atom



Look up the formation energy without anion corrections of the seventh one.
-2.51 eV/atom